Material: LaMn3Cl
Method: DFT, PBE
State: optimized geometry

Computed properties:
The formation energy without anion corrections comes out at 740 kJ/mol of formula units. The density of states at the Fermi level comes out at 3.8 states/eV/f.u. The calculation puts the relative energy among the computed polymorphs at 738 meV per atom. The calculation puts the calculated total energy at -5.32 eV per atom. As for the total magnetic moment: 2.5421 μB per atom. The space group is Pm-3m.

Lattice parameters (Å, degrees): 5.466 5.466 5.466 90.00 90.00 90.00
Fractional coordinates of all 5 atoms:
La: 0.000 0.000 0.000
Mn: 0.000 0.000 0.500
Mn: 0.000 0.500 0.000
Mn: 0.500 0.000 0.000
Cl: 0.500 0.500 0.500


Material: LaMnCl2
Method: DFT, PBE
State: optimized geometry

Computed properties:
The formation energy without anion corrections comes out at -342 kJ/mol of formula units. The density of states at the Fermi level comes out at 2.0 states/eV/f.u. The calculation puts the relative energy among the computed polymorphs at 95 meV per atom. The calculation puts the calculated total energy at -5.33 eV per atom. As for the total magnetic moment: 1.0323 μB per atom. The space group is C2/m.

Lattice parameters (Å, degrees): 5.077 5.077 5.701 96.88 96.88 42.56
Fractional coordinates of all 4 atoms:
La: 0.000 0.000 0.000
Mn: 0.500 0.500 0.500
Cl: 0.280 0.280 0.769
Cl: 0.720 0.720 0.231


Material: La2MnCl
Method: DFT, PBE
State: optimized geometry

Computed properties:
The formation energy without anion corrections comes out at -112 kJ/mol of formula units. The density of states at the Fermi level comes out at 4.8 states/eV/f.u. The calculation puts the relative energy among the computed polymorphs at 287 meV per atom. The calculation puts the calculated total energy at -5.51 eV per atom. As for the total magnetic moment: 0.5663 μB per atom. The space group is Immm.

Lattice parameters (Å, degrees): 5.421 5.421 5.421 131.77 112.26 87.42
Fractional coordinates of all 4 atoms:
La: 0.242 0.242 0.000
La: 0.758 0.758 0.000
Mn: 0.000 0.500 0.500
Cl: 0.500 0.000 0.500


Material: La2MnCl
Method: DFT, PBE
State: optimized geometry

Computed properties:
The formation energy without anion corrections comes out at -206 kJ/mol of formula units. The density of states at the Fermi level comes out at 4.7 states/eV/f.u. The calculation puts the relative energy among the computed polymorphs at 44 meV per atom. The calculation puts the calculated total energy at -5.75 eV per atom. As for the total magnetic moment: 0.4708 μB per atom. The space group is R-3m.

Lattice parameters (Å, degrees): 8.286 8.286 8.286 28.01 28.01 28.01
Fractional coordinates of all 4 atoms:
La: 0.239 0.239 0.239
La: 0.761 0.761 0.761
Mn: 0.500 0.500 0.500
Cl: 0.000 0.000 0.000


Material: LaMn2Cl
Method: DFT, PBE
State: optimized geometry

Computed properties:
The formation energy without anion corrections comes out at -6 kJ/mol of formula units. The density of states at the Fermi level comes out at 4.2 states/eV/f.u. The calculation puts the relative energy among the computed polymorphs at 193 meV per atom. The calculation puts the calculated total energy at -6.29 eV per atom. As for the total magnetic moment: 1.8725 μB per atom. The space group is C2/m.

Lattice parameters (Å, degrees): 6.370 6.370 3.545 105.74 105.74 127.90
Fractional coordinates of all 4 atoms:
La: 0.000 0.000 0.000
Mn: 0.000 0.500 0.500
Mn: 0.500 0.000 0.500
Cl: 0.500 0.500 0.000


Material: LaMn3Cl
Method: DFT, PBE
State: optimized geometry

Computed properties:
The formation energy without anion corrections comes out at 384 kJ/mol of formula units. The density of states at the Fermi level comes out at 9.1 states/eV/f.u. The calculation puts the relative energy among the computed polymorphs at 0 meV per atom. The calculation puts the calculated total energy at -6.06 eV per atom. As for the total magnetic moment: 0.0019 μB per atom. The space group is Pm-3m.

Lattice parameters (Å, degrees): 4.297 4.297 4.297 90.00 90.00 90.00
Fractional coordinates of all 5 atoms:
La: 0.000 0.000 0.000
Mn: 0.000 0.500 0.500
Mn: 0.500 0.000 0.500
Mn: 0.500 0.500 0.000
Cl: 0.500 0.500 0.500


Material: LaMn2Cl
Method: DFT, PBE
State: optimized geometry

Computed properties:
The formation energy without anion corrections comes out at -80 kJ/mol of formula units. The density of states at the Fermi level comes out at 3.1 states/eV/f.u. The calculation puts the relative energy among the computed polymorphs at 0 meV per atom. The calculation puts the calculated total energy at -6.49 eV per atom. As for the total magnetic moment: 0.2008 μB per atom. The space group is Amm2.

Lattice parameters (Å, degrees): 3.300 7.733 7.733 25.09 90.00 90.00
Fractional coordinates of all 4 atoms:
La: 0.000 0.000 0.000
Mn: 0.000 0.782 0.782
Mn: 0.500 0.357 0.357
Cl: 0.500 0.639 0.639


Material: La2MnCl
Method: DFT, PBE
State: optimized geometry

Computed properties:
The formation energy without anion corrections comes out at -100 kJ/mol of formula units. The density of states at the Fermi level comes out at 2.2 states/eV/f.u. The calculation puts the relative energy among the computed polymorphs at 318 meV per atom. The calculation puts the calculated total energy at -5.48 eV per atom. As for the total magnetic moment: 1.0034 μB per atom. The space group is R3m.

Lattice parameters (Å, degrees): 10.233 10.233 10.233 20.73 20.73 20.73
Fractional coordinates of all 4 atoms:
La: 0.000 0.000 0.000
La: 0.227 0.227 0.227
Mn: 0.482 0.482 0.482
Cl: 0.737 0.737 0.737


Material: NaLaMnCl2
Method: DFT, PBE
State: optimized geometry

Computed properties:
The formation energy without anion corrections comes out at -196 kJ/mol of formula units. The density of states at the Fermi level comes out at 4.4 states/eV/f.u. The calculation puts the calculated total energy at -4.23 eV per atom. As for the total magnetic moment: 0.6966 μB per atom. The space group is P4/mmm.

Lattice parameters (Å, degrees): 4.912 4.912 5.668 90.00 90.00 90.00
Fractional coordinates of all 5 atoms:
Na: 0.000 0.000 0.000
La: 0.500 0.500 0.500
Mn: 0.000 0.000 0.500
Cl: 0.000 0.500 0.000
Cl: 0.500 0.000 0.000


Material: LaMnPdCl2
Method: DFT, PBE
State: optimized geometry

Computed properties:
The formation energy without anion corrections comes out at -174 kJ/mol of formula units. The density of states at the Fermi level comes out at 2.1 states/eV/f.u. The calculation puts the calculated total energy at -4.96 eV per atom. As for the total magnetic moment: 0.7376 μB per atom. The space group is P4/mmm.

Lattice parameters (Å, degrees): 4.507 4.507 6.660 90.00 90.00 90.00
Fractional coordinates of all 5 atoms:
La: 0.000 0.000 0.000
Mn: 0.000 0.000 0.500
Pd: 0.500 0.500 0.000
Cl: 0.000 0.500 0.500
Cl: 0.500 0.000 0.500


Material: Rb2LaMnCl
Method: DFT, PBE
State: optimized geometry

Computed properties:
The formation energy without anion corrections comes out at 60 kJ/mol of formula units. The density of states at the Fermi level comes out at 7.8 states/eV/f.u. The calculation puts the calculated total energy at -3.45 eV per atom. As for the total magnetic moment: 0.5239 μB per atom. The space group is P4/mmm.

Lattice parameters (Å, degrees): 6.084 6.084 5.795 90.00 90.00 90.00
Fractional coordinates of all 5 atoms:
Rb: 0.000 0.500 0.000
Rb: 0.500 0.000 0.000
La: 0.000 0.000 0.500
Mn: 0.500 0.500 0.500
Cl: 0.000 0.000 0.000


Material: LaMnRh2Cl
Method: DFT, PBE
State: optimized geometry

Computed properties:
The formation energy without anion corrections comes out at 470 kJ/mol of formula units. The density of states at the Fermi level comes out at 1.3 states/eV/f.u. The calculation puts the calculated total energy at -5.15 eV per atom. As for the total magnetic moment: 1.0342 μB per atom. The space group is P4/mmm.

Lattice parameters (Å, degrees): 4.823 4.823 6.487 90.00 90.00 90.00
Fractional coordinates of all 5 atoms:
La: 0.000 0.000 0.000
Mn: 0.000 0.000 0.500
Rh: 0.000 0.500 0.000
Rh: 0.500 0.000 0.000
Cl: 0.500 0.500 0.500


Question: Which of these has the lowest calculated total energy?
Answer: number 7